1.
Below is a geometry-optimized NaMnGe2I8 structure, with properties calculated at the PBE level.

- formation energy (no corrections) (eV per atom) = -0.41

```
NaMnGe2I8
1.0
7.4637 0.2612 -0.0268
0.2915 6.9936 0.0052
-0.0204 0.0281 8.8480
Na Mn Ge I
1 1 2 8
Direct
0.0000 0.0000 0.5000 Na
0.0000 0.0000 0.0000 Mn
0.5349 0.5399 0.7643 Ge
0.4651 0.4601 0.2357 Ge
0.1498 0.7663 0.2216 I
0.6775 0.7525 0.9936 I
0.8334 0.2188 0.2164 I
0.8502 0.2337 0.7784 I
0.3225 0.2475 0.0064 I
0.1666 0.7812 0.7836 I
0.6693 0.7124 0.5125 I
0.3307 0.2876 0.4875 I
```


2.
Below is a geometry-optimized Ac3AlTl3 structure, with properties calculated at the PBE level.

- offset from the most stable computed form (meV per atom) = 160
- ΔE_f (eV/atom) = -0.18

```
Ac3AlTl3
1.0
-3.5874 -3.8819 -1.4781
2.0540 -5.0612 8.3072
-7.2957 6.7539 -0.0306
Ac Al Tl
6 2 6
Direct
0.7500 0.6517 0.5518 Ac
0.7500 0.4482 0.0999 Ac
0.7500 0.9001 0.3483 Ac
0.2500 0.3483 0.4482 Ac
0.2500 0.5518 0.9001 Ac
0.2500 0.0999 0.6517 Ac
0.2500 0.6667 0.3333 Al
0.7500 0.3333 0.6667 Al
0.2500 0.8225 0.7760 Tl
0.2500 0.2240 0.0465 Tl
0.2500 0.9535 0.1775 Tl
0.7500 0.1775 0.2240 Tl
0.7500 0.7760 0.9535 Tl
0.7500 0.0465 0.8225 Tl
```


3.
Below is a geometry-optimized SnI structure, with properties calculated at the PBE level.

- formation energy (no corrections) (eV per atom) = 0.25

```
SnI
1.0
5.6858 0.0000 0.0000
-2.8429 4.9241 0.0000
0.0000 0.0000 6.7516
Sn I
2 2
Direct
0.3333 0.6667 0.2500 Sn
0.6667 0.3333 0.7500 Sn
0.3333 0.6667 0.7500 I
0.6667 0.3333 0.2500 I
```


4.
Below is a geometry-optimized Pm4Hg4Bi5 structure, with properties calculated at the PBE level.

- ΔE_f (eV/atom) = -0.48

```
Pm4Hg4Bi5
1.0
-1.2774 3.5807 -2.5948
-7.5083 3.5807 4.5551
4.9234 7.2872 3.5499
Pm Hg Bi
4 4 5
Direct
0.7732 0.3228 0.1308 Pm
0.2268 0.6772 0.8692 Pm
0.9040 0.8692 0.3228 Pm
0.0960 0.1308 0.6772 Pm
0.9111 0.4970 0.6809 Hg
0.5920 0.3191 0.4970 Hg
0.0889 0.5030 0.3191 Hg
0.4080 0.6809 0.5030 Hg
0.7105 0.8788 0.7002 Bi
0.2895 0.1212 0.2998 Bi
0.0000 0.0000 0.0000 Bi
0.5893 0.7002 0.1212 Bi
0.4107 0.2998 0.8788 Bi
```


5.
Below is a geometry-optimized YTe2Pt structure, with properties calculated at the PBE level.

- formation energy (no corrections) (eV per atom) = -0.71
- offset from the most stable computed form (meV per atom) = 215

```
YTe2Pt
1.0
-1.7926 2.5975 2.3544
-2.5442 1.0658 -3.1130
-5.7601 -3.9231 -0.0574
Pt Te Y
1 2 1
Direct
0.5000 0.7500 0.7500 Pt
0.0000 0.8372 0.9892 Te
0.0000 0.6628 0.5108 Te
0.5000 0.2500 0.2500 Y
```


6.
Below is a geometry-optimized ReSiAu2 structure, with properties calculated at the PBE level.

- formation energy (no corrections) (eV per atom) = 0.32

```
ReSiAu2
1.0
-4.2928 1.5422 0.4518
-4.3443 -1.2262 0.7960
-0.4579 0.6975 5.5423
Au Re Si
2 1 1
Direct
0.0202 0.0202 0.9988 Au
0.2498 0.2498 0.2647 Au
0.4872 0.4872 0.5511 Re
0.7429 0.7429 0.6854 Si
```


7.
Below is a geometry-optimized Cd2BiPtO6 structure, with properties calculated at the PBE level.

- formation energy (no corrections) (eV per atom) = -0.75

```
Cd2BiPtO6
1.0
5.1956 0.0000 -0.2969
0.0000 5.5710 0.0000
-2.3888 -2.7855 5.1356
Cd Bi Pt O
2 1 1 6
Direct
0.2080 0.2475 0.4951 Cd
0.7920 0.7525 0.5049 Cd
0.0000 0.5000 0.0000 Bi
0.5000 0.0000 0.0000 Pt
0.3344 0.6968 0.3935 O
0.1839 0.1472 0.8205 O
0.8161 0.3268 0.1795 O
0.1839 0.6732 0.8205 O
0.8161 0.8528 0.1795 O
0.6656 0.3032 0.6065 O
```


8.
Below is a geometry-optimized NaCaIr2Os structure, with properties calculated at the PBE level.

- ΔE_f (eV/atom) = 0.72

```
NaCaIr2Os
1.0
4.7781 0.0000 0.0000
0.0000 5.0882 0.0000
0.0000 0.0000 4.7781
Na Ca Ir Os
1 1 2 1
Direct
0.0000 0.5000 0.0000 Na
0.5000 0.5000 0.5000 Ca
0.0000 0.0000 0.5000 Ir
0.5000 0.0000 0.0000 Ir
0.0000 0.0000 0.0000 Os
```


9.
Below is a geometry-optimized Na2Pa2CrN6 structure, with properties calculated at the PBE level.

- formation energy (no corrections) (eV per atom) = -0.70

```
Na2Pa2CrN6
1.0
5.7311 0.0140 0.1781
-2.8204 4.9891 0.1781
-0.9146 -1.5721 5.6873
Na Pa Cr N
2 2 1 6
Direct
0.8509 0.1491 0.0000 Na
0.1491 0.8509 0.0000 Na
0.3357 0.6643 0.5000 Pa
0.6643 0.3357 0.5000 Pa
0.0000 0.0000 0.5000 Cr
0.7621 0.7621 0.6784 N
0.0390 0.3540 0.6760 N
0.2379 0.2379 0.3216 N
0.3540 0.0390 0.6760 N
0.9610 0.6460 0.3240 N
0.6460 0.9610 0.3240 N
```


10.
Below is a geometry-optimized Ag2Ge2Pt structure, with properties calculated at the PBE level.

- offset from the most stable computed form (meV per atom) = 0
- ΔE_f (eV/atom) = -0.05

```
Ag2Ge2Pt
1.0
6.4117 0.0000 0.0000
0.0000 6.4117 0.0000
0.0000 0.0000 4.4102
Ge Ag Pt
4 4 2
Direct
0.3638 0.8638 0.0000 Ge
0.8638 0.6362 0.0000 Ge
0.6362 0.1362 0.0000 Ge
0.1362 0.3638 0.0000 Ge
0.1773 0.6773 0.5000 Ag
0.6773 0.8227 0.5000 Ag
0.8227 0.3227 0.5000 Ag
0.3227 0.1773 0.5000 Ag
0.0000 0.0000 0.0000 Pt
0.5000 0.5000 0.0000 Pt
```


11.
Below is a geometry-optimized PrPaTlO6 structure, with properties calculated at the PBE level.

- formation energy (no corrections) (eV per atom) = -2.31

```
PrPaTlO6
1.0
4.8980 0.0000 0.0000
0.0000 5.8108 0.0000
0.0000 -2.9054 5.0323
Pr Pa Tl O
1 1 1 6
Direct
0.5000 0.6667 0.3333 Pr
0.0000 0.3333 0.6667 Pa
0.5000 0.0000 0.0000 Tl
0.7515 0.6502 0.6793 O
0.7515 0.3207 0.9709 O
0.7515 0.0291 0.3498 O
0.2485 0.3207 0.3498 O
0.2485 0.6502 0.9709 O
0.2485 0.0291 0.6793 O
```


12.
Below is a geometry-optimized Al2VRh structure, with properties calculated at the PBE level.

- offset from the most stable computed form (meV per atom) = 30
- ΔE_f (eV/atom) = -0.58

```
Al2VRh
1.0
-1.1284 -3.0708 -2.8083
2.3516 -3.5997 -0.3184
-1.5890 -3.7461 1.4250
Rh Al V
1 2 1
Direct
0.5000 0.5000 0.5000 Rh
0.2500 0.2500 0.2500 Al
0.7500 0.7500 0.7500 Al
0.0000 0.0000 0.0000 V
```


13.
Below is a geometry-optimized TbGePdAu structure, with properties calculated at the PBE level.

- ΔE_f (eV/atom) = -0.63

```
TbGePdAu
1.0
4.8046 0.0000 0.0000
2.4023 4.1609 0.0000
2.4023 1.3870 3.9229
Tb Ge Au Pd
1 1 1 1
Direct
0.7500 0.7500 0.7500 Tb
0.2500 0.2500 0.2500 Ge
0.5000 0.5000 0.5000 Au
0.0000 0.0000 0.0000 Pd
```


14.
Below is a geometry-optimized Tm2VBi structure, with properties calculated at the PBE level.

- ΔE_f (eV/atom) = 0.50

```
Tm2VBi
1.0
-0.7543 2.1838 2.3852
-2.5730 2.0626 -0.3905
-7.9547 -6.2118 5.4831
Tm Bi V
2 1 1
Direct
0.0831 0.0831 0.7506 Tm
0.9169 0.9169 0.2494 Tm
0.5000 0.5000 0.5000 Bi
0.0000 0.0000 0.0000 V
```


15.
Below is a geometry-optimized Sm4Y3PuS8 structure, with properties calculated at the PBE level.

- formation energy (no corrections) (eV per atom) = -1.99

```
Sm4Y3PuS8
1.0
-3.0811 -3.4209 -6.4523
7.1261 -3.0193 -1.8021
-3.1911 -1.3788 7.1235
Sm Y Pu S
4 3 1 8
Direct
0.5000 0.0000 0.0000 Sm
0.5000 0.0000 0.5000 Sm
0.0000 0.0000 0.0000 Sm
0.0000 0.0000 0.5000 Sm
0.5000 0.5000 0.0000 Y
0.5000 0.5000 0.5000 Y
0.0000 0.5000 0.5000 Y
0.0000 0.5000 0.0000 Pu
0.2481 0.7425 0.9944 S
0.2481 0.7425 0.4961 S
0.2529 0.2587 0.5058 S
0.7463 0.7425 0.9944 S
0.2537 0.2575 0.0056 S
0.7471 0.7413 0.4942 S
0.7519 0.2575 0.5039 S
0.7519 0.2575 0.0056 S
```


16.
Below is a geometry-optimized Pm2Ni4SnP3 structure, with properties calculated at the PBE level.

- ΔE_f (eV/atom) = -0.83

```
Pm2Ni4SnP3
1.0
-1.1671 0.0982 -3.8496
-3.8249 -0.4956 1.1469
-1.0996 9.8399 0.5844
Pm Ni Sn P
2 4 1 3
Direct
0.5000 0.0000 0.2302 Pm
0.0000 0.5000 0.7698 Pm
0.5000 0.5000 0.0000 Ni
0.0000 0.0000 0.0000 Ni
0.5000 0.0000 0.6486 Ni
0.0000 0.5000 0.3514 Ni
0.5000 0.5000 0.5000 Sn
0.0000 0.0000 0.5000 P
0.5000 0.0000 0.8766 P
0.0000 0.5000 0.1234 P
```


17.
Below is a geometry-optimized Os2AuCl structure, with properties calculated at the PBE level.

- formation energy (no corrections) (eV per atom) = 1.20
- offset from the most stable computed form (meV per atom) = 875

```
Os2AuCl
1.0
2.7460 0.0000 0.0000
0.0000 4.9615 0.0000
0.0000 0.0000 4.7726
Au Cl Os
1 1 2
Direct
0.5000 0.0000 0.5000 Au
0.0000 0.5000 0.5000 Cl
0.0000 0.0000 0.0000 Os
0.5000 0.5000 0.0000 Os
```


18.
Below is a geometry-optimized Ni3OsCl structure, with properties calculated at the PBE level.

- formation energy (no corrections) (eV per atom) = 1.09
- offset from the most stable computed form (meV per atom) = 0

```
Ni3OsCl
1.0
-3.4035 1.6924 1.4923
0.8472 -1.5447 3.6839
2.0913 3.3800 0.9363
Ni Os Cl
3 1 1
Direct
0.0000 0.5000 0.0000 Ni
0.0000 0.0000 0.5000 Ni
0.5000 0.0000 0.0000 Ni
0.5000 0.5000 0.5000 Os
0.0000 0.0000 0.0000 Cl
```


19.
Below is a geometry-optimized AcHgPt structure, with properties calculated at the PBE level.

- offset from the most stable computed form (meV per atom) = 92
- ΔE_f (eV/atom) = -0.68

```
AcHgPt
1.0
-0.9189 -4.1326 1.2973
-1.7697 -2.2022 -8.2686
8.3624 -2.2345 -1.1947
Ac Hg Pt
4 4 4
Direct
0.5000 0.8008 0.5876 Ac
0.0000 0.4124 0.8008 Ac
0.0000 0.5876 0.1992 Ac
0.5000 0.1992 0.4124 Ac
0.5000 0.8848 0.1540 Hg
0.5000 0.1152 0.8460 Hg
0.0000 0.1540 0.1152 Hg
0.0000 0.8460 0.8848 Hg
0.5000 0.3630 0.0803 Pt
0.0000 0.9197 0.3630 Pt
0.0000 0.0803 0.6370 Pt
0.5000 0.6370 0.9197 Pt
```


20.
Below is a geometry-optimized IrBrCl2 structure, with properties calculated at the PBE level.

- formation energy (no corrections) (eV per atom) = 1.19
- offset from the most stable computed form (meV per atom) = 1597

```
IrBrCl2
1.0
-3.2733 -2.8565 -2.1030
-4.5499 1.5228 -0.5256
-1.6889 1.0884 -4.3886
Ir Br Cl
1 1 2
Direct
0.5000 0.5000 0.5000 Ir
0.0000 0.0000 0.0000 Br
0.2500 0.2500 0.2500 Cl
0.7500 0.7500 0.7500 Cl
```